A relaxed structure of RbSnS4. Source: Alexandria, functional GGA-PBE.

Structure (POSCAR):
```
RbSnS4
1.0
10.038 0.000 0.000
0.000 10.114 0.000
-5.889 0.000 14.226
Rb Sn S
8 8 32
Cartesian
0.655 2.284 1.377
-2.289 2.773 8.490
2.416 6.437 2.889
-0.528 8.734 10.002
4.677 1.380 4.224
1.733 3.677 11.337
6.438 7.341 5.736
3.494 7.830 12.849
0.735 10.113 5.787
-2.209 5.058 12.900
1.894 6.829 7.304
4.838 8.342 0.191
-0.689 1.772 14.035
2.255 3.285 6.922
3.414 0.001 8.439
6.358 5.056 1.326
-4.006 6.496 9.937
-1.062 8.675 2.825
-0.955 6.617 3.195
-3.900 8.554 10.308
-1.832 0.604 5.724
-4.777 4.453 12.836
-2.154 5.728 10.343
0.791 9.443 3.230
-3.149 7.338 13.681
-0.204 7.833 6.568
1.466 2.315 4.831
-1.479 2.742 11.944
3.739 0.368 1.156
0.794 4.689 8.269
1.025 1.036 8.150
3.970 4.021 1.037
0.179 6.093 13.189
3.124 9.078 6.076
3.355 5.425 5.957
0.410 9.746 13.070
5.628 7.372 2.282
2.683 7.799 9.395
4.353 2.281 7.658
7.297 2.776 0.545
3.358 0.671 10.995
6.303 4.386 3.882
8.926 5.661 1.389
5.981 9.510 8.502
8.049 1.560 3.918
5.104 3.497 11.031
5.211 1.439 11.401
8.155 3.618 4.288
```

Calculated values
E_form (uncorrected) ... -3.5 eV/f.u.
Symmetry ... P2_1/c (14)
Energy relative to the lowest polymorph listed for this composition ... 0.1 meV/atom
Size of the total moment ... 0.00 μB/cell